# 1
The following is a DFT calculation (PBE with a Hubbard U) of crystalline TlCrRe2O8 at its relaxed geometry.

a b c (Å): 5.6425 5.6425 7.9259
angles (deg): 90.00 90.00 120.00
Space group P-3 (No. 147)
Inequivalent atoms, fractional coordinates:
Tl: 0.0000 0.0000 0.0000 [1 per cell]
Cr: 0.0000 0.0000 0.5000 [1 per cell]
Re: 0.3333 0.6667 0.7353 [2 per cell]
O: 0.0801 0.3360 0.6635 [6 per cell]
O: 0.3333 0.6667 0.9572 [2 per cell]

Values from the calculation:
- volume (Å³ per atom) = 18.21
- total magnetization (μB per atom) = 0.423
- E_tot (eV/atom) = -7.698


# 2
The following is a DFT calculation (PBE with a Hubbard U) of crystalline TmCr2ReO8 at its relaxed geometry.

a b c (Å): 6.661 6.668 6.313
angles (deg): 90.00 90.00 90.00
Space group Cmmm (No. 65)
Inequivalent atoms, fractional coordinates:
Tm: 0.000 0.000 0.000 [2 per cell]
Cr: 0.000 0.500 0.246 [4 per cell]
Re: 0.000 0.000 0.500 [2 per cell]
O: 0.000 0.290 0.500 [4 per cell]
O: 0.000 0.319 0.000 [4 per cell]
O: 0.197 0.000 0.285 [8 per cell]

Values from the calculation:
- volume (Å³ per atom) = 11.68
- total magnetization (μB per atom) = 0.500
- E_tot (eV/atom) = -8.053


# 3
The following is a DFT calculation (PBE with a Hubbard U) of crystalline VCrReO6 at its relaxed geometry.

a b c (Å): 4.9815 4.9815 9.0256
angles (deg): 90.00 90.00 120.00
Space group P-31c (No. 163)
Inequivalent atoms, fractional coordinates:
V: 0.3333 0.6667 0.2500 [2 per cell]
Cr: 0.0000 0.0000 0.0000 [2 per cell]
Re: 0.3333 0.6667 0.7500 [2 per cell]
O: 0.0142 0.3438 0.6288 [12 per cell]

Values from the calculation:
- volume (Å³ per atom) = 10.78
- total magnetization (μB per atom) = 0.599
- E_tot (eV/atom) = -8.073


# 4
The following is a DFT calculation (PBE with a Hubbard U) of crystalline YCr2ReO8 at its relaxed geometry.

a b c (Å): 6.663 6.704 6.377
angles (deg): 90.00 90.00 90.00
Space group Cmmm (No. 65)
Inequivalent atoms, fractional coordinates:
Y: 0.000 0.000 0.000 [2 per cell]
Cr: 0.000 0.500 0.247 [4 per cell]
Re: 0.000 0.000 0.500 [2 per cell]
O: 0.000 0.290 0.500 [4 per cell]
O: 0.000 0.323 0.000 [4 per cell]
O: 0.198 0.000 0.289 [8 per cell]

Values from the calculation:
- volume (Å³ per atom) = 11.87
- total magnetization (μB per atom) = 0.500
- E_tot (eV/atom) = -8.184


# 5
The following is a DFT calculation (PBE with a Hubbard U) of crystalline CrRhO2 at its relaxed geometry.

a b c (Å): 2.9031 2.9031 18.3775
angles (deg): 90.00 90.00 120.00
Space group R-3m (No. 166, hexagonal axes)
Inequivalent atoms, fractional coordinates:
Cr: 0.0000 0.0000 0.0000 [3 per cell]
Rh: 0.0000 0.0000 0.5000 [3 per cell]
O: 0.0000 0.0000 0.3907 [6 per cell]

Values from the calculation:
- volume (Å³ per atom) = 11.18
- total magnetization (μB per atom) = 0.695
- E_tot (eV/atom) = -7.442


# 6
The following is a DFT calculation (PBE with a Hubbard U) of crystalline CrRh3O6 at its relaxed geometry.

a b c (Å): 7.251 10.050 3.123
angles (deg): 90.00 90.00 90.00
Space group Cmmm (No. 65)
Inequivalent atoms, fractional coordinates:
Cr: 0.000 0.000 0.000 [2 per cell]
Rh: 0.000 0.500 0.000 [2 per cell]
Rh: 0.250 0.250 0.500 [4 per cell]
O: 0.000 0.139 0.500 [4 per cell]
O: 0.193 0.368 0.000 [8 per cell]

Values from the calculation:
- volume (Å³ per atom) = 11.38
- total magnetization (μB per atom) = 0.368
- E_tot (eV/atom) = -6.837


# 7
The following is a DFT calculation (PBE with a Hubbard U) of crystalline Cr2RhO at its relaxed geometry.

a b c (Å): 6.015 6.015 6.580
angles (deg): 90.00 90.00 90.00
Space group I-42d (No. 122)
Inequivalent atoms, fractional coordinates:
Cr: 0.160 0.250 0.125 [8 per cell]
Rh: 0.000 0.000 0.500 [4 per cell]
O: 0.000 0.000 0.000 [4 per cell]

Values from the calculation:
- volume (Å³ per atom) = 14.88
- total magnetization (μB per atom) = 1.779
- E_tot (eV/atom) = -6.996


# 8
The following is a DFT calculation (PBE with a Hubbard U) of crystalline CrRh2O6 at its relaxed geometry.

a b c (Å): 5.3145 5.3145 4.7767
angles (deg): 90.00 90.00 120.00
Space group P-31m (No. 162)
Inequivalent atoms, fractional coordinates:
Cr: 0.0000 0.0000 0.0000 [1 per cell]
Rh: 0.3333 0.6667 0.0000 [2 per cell]
O: 0.0000 0.3360 0.1990 [6 per cell]

Values from the calculation:
- volume (Å³ per atom) = 12.98
- total magnetization (μB per atom) = 0.003
- E_tot (eV/atom) = -6.640


# 9
The following is a DFT calculation (PBE with a Hubbard U) of crystalline CrRh2O6 at its relaxed geometry.

a b c (Å): 5.0647 5.0647 4.2949
angles (deg): 90.00 90.00 120.00
Space group P-31m (No. 162)
Inequivalent atoms, fractional coordinates:
Cr: 0.0000 0.0000 0.0000 [1 per cell]
Rh: 0.3333 0.6667 0.5000 [2 per cell]
O: 0.0000 0.3390 0.7523 [6 per cell]

Values from the calculation:
- volume (Å³ per atom) = 10.60
- total magnetization (μB per atom) = 0.005
- E_tot (eV/atom) = -6.712


# 10
The following is a DFT calculation (PBE with a Hubbard U) of crystalline CrRhO2 at its relaxed geometry.

a b c (Å): 3.1561 3.1561 17.6607
angles (deg): 90.00 90.00 120.00
Space group R-3m (No. 166, hexagonal axes)
Inequivalent atoms, fractional coordinates:
Cr: 0.0000 0.0000 0.0000 [3 per cell]
Rh: 0.0000 0.0000 0.5000 [3 per cell]
O: 0.0000 0.0000 0.1116 [6 per cell]

Values from the calculation:
- volume (Å³ per atom) = 12.70
- total magnetization (μB per atom) = 1.041
- E_tot (eV/atom) = -6.883


# 11
The following is a DFT calculation (PBE with a Hubbard U) of crystalline CrRhO4 at its relaxed geometry.

a b c (Å): 5.493 4.539 5.475
angles (deg): 90.00 112.17 90.00
Space group P2_1/c (No. 14)
Inequivalent atoms, fractional coordinates:
Cr: 0.000 0.000 0.000 [2 per cell]
Rh: 0.500 0.000 0.500 [2 per cell]
O: 0.148 0.196 0.344 [4 per cell]
O: 0.345 0.695 0.650 [4 per cell]

Values from the calculation:
- volume (Å³ per atom) = 10.54
- total magnetization (μB per atom) = 0.234
- E_tot (eV/atom) = -6.964


# 12
The following is a DFT calculation (PBE with a Hubbard U) of crystalline CrRh2O4 at its relaxed geometry.

a b c (Å): 6.427 6.427 7.872
angles (deg): 90.00 90.00 90.00
Space group I4_1/amd (No. 141, origin choice 2)
Inequivalent atoms, fractional coordinates:
Cr: 0.000 0.250 0.375 [4 per cell]
Rh: 0.000 0.000 0.000 [8 per cell]
O: 0.000 0.044 0.738 [16 per cell]

Values from the calculation:
- volume (Å³ per atom) = 11.61
- total magnetization (μB per atom) = 0.568
- E_tot (eV/atom) = -6.907